The following is a GGA+U calculation of SnWNO2 after structural relaxation, from Alexandria.

Properties
crystal system = tetragonal
E_tot = -5.83 eV per atom
total magnetic moment = 2.991 μB/f.u.

abc: 3.9355 3.9355 4.3358
angles: 90.00 90.00 90.00
Space group P4/mmm (No. 123)
Symmetry-distinct sites (fractional):
Sn  0.0000  0.0000  0.0000 [1 per cell]
W  0.5000  0.5000  0.5000 [1 per cell]
N  0.0000  0.0000  0.5000 [1 per cell]
O  0.0000  0.5000  0.0000 [2 per cell]